# PBE Ho2CdPbO6, relaxed
data_Ho2CdPbO6
_chemical_formula_sum 'Ho6 Cd3 Pb3 O18'
_space_group_name_H-M_alt 'R 3'
_space_group_IT_number 146
_space_group_name_Hall 'R 3'
_cell_length_a 5.7695
_cell_length_b 5.7695
_cell_length_c 15.3180
_cell_angle_alpha 90.00
_cell_angle_beta 90.00
_cell_angle_gamma 120.00
loop_
_atom_site_label
_atom_site_fract_x
_atom_site_fract_y
_atom_site_fract_z
Ho1 0.0000 0.0000 0.0000
Ho2 0.0000 0.0000 0.4983
Cd1 0.0000 0.0000 0.2206
Pb1 0.0000 0.0000 0.7091
O1 0.0136 0.7199 0.6052
O2 0.0318 0.3586 0.7685
# Energy relative to the elements, uncorrected = -2.252 eV per atom
# Crystal system = trigonal
# Mass density = 8.41 g cm⁻³


# PBE ZrTcTeOs2, relaxed
data_ZrTcTeOs2
_chemical_formula_sum 'Zr1 Tc1 Te1 Os2'
_space_group_name_H-M_alt 'P 4/m m m'
_space_group_IT_number 123
_space_group_name_Hall '-P 4 2'
_cell_length_a 4.758
_cell_length_b 4.758
_cell_length_c 4.749
_cell_angle_alpha 90.00
_cell_angle_beta 90.00
_cell_angle_gamma 90.00
loop_
_atom_site_label
_atom_site_fract_x
_atom_site_fract_y
_atom_site_fract_z
Zr1 0.000 0.000 0.000
Tc1 0.500 0.500 0.000
Te1 0.500 0.500 0.500
Os1 0.000 0.500 0.500
# Energy relative to the elements, uncorrected = 1.608 eV per atom
# Crystal system = tetragonal
# Mass density = 10.77 g cm⁻³


# PBE Nb2PbC, relaxed
data_Nb2PbC
_chemical_formula_sum 'Nb8 Pb4 C4'
_space_group_name_H-M_alt 'F m -3 m'
_space_group_IT_number 225
_space_group_name_Hall '-F 4 2 3'
_cell_length_a 6.452
_cell_length_b 6.452
_cell_length_c 6.452
_cell_angle_alpha 90.00
_cell_angle_beta 90.00
_cell_angle_gamma 90.00
loop_
_atom_site_label
_atom_site_fract_x
_atom_site_fract_y
_atom_site_fract_z
Nb1 0.250 0.250 0.250
Pb1 0.000 0.000 0.000
C1 0.000 0.000 0.500
# ΔE_f = 1263 meV/atom
# Crystal system = cubic
# Mass density = 10.02 g cm⁻³


For the records above, the corresponding total moment values read 0.000; 0.000; 0.000 μB per atom.